(1)
# PBE CrCuCI2, relaxed
# - Uncorrected formation energy: 1815 meV per atom
# - DOS(E_F): 5.32 states/eV/cell
data_CrCuCI2
_space_group_name_H-M_alt 'P 4/m m m'
_space_group_IT_number 123
_space_group_name_Hall '-P 4 2'
_cell_length_a 5.3346
_cell_length_b 5.3346
_cell_length_c 4.8567
_cell_angle_alpha 90.00
_cell_angle_beta 90.00
_cell_angle_gamma 90.00
loop_
_atom_site_label
_atom_site_fract_x
_atom_site_fract_y
_atom_site_fract_z
Cr1 0.0000 0.0000 0.0000
Cu1 0.0000 0.0000 0.5000
C1 0.5000 0.5000 0.5000
I1 0.0000 0.5000 0.0000

=====

(2)
# PBE LiPu2RhO8, relaxed
# - Uncorrected formation energy: -1837 meV per atom
# - DOS(E_F): 19.60 states/eV/cell
data_LiPu2RhO8
_space_group_name_H-M_alt 'I -4 m 2'
_space_group_IT_number 119
_space_group_name_Hall 'I -4 -2'
_cell_length_a 5.1043
_cell_length_b 5.1043
_cell_length_c 10.3664
_cell_angle_alpha 90.00
_cell_angle_beta 90.00
_cell_angle_gamma 90.00
loop_
_atom_site_label
_atom_site_fract_x
_atom_site_fract_y
_atom_site_fract_z
Li1 0.0000 0.0000 0.0000
Pu1 0.0000 0.0000 0.5000
Pu2 0.0000 0.5000 0.2500
Rh1 0.0000 0.5000 0.7500
O1 0.2403 0.2526 0.6307

=====

(3)
# PBE Mg2Tl2Pb5, relaxed
# - DFT formation energy: 0.20 eV per formula unit
# - DOS(E_F): 8.96 states/eV/cell
data_Mg2Tl2Pb5
_space_group_name_H-M_alt 'C 1 2/m 1'
_space_group_IT_number 12
_cell_length_a 10.8917
_cell_length_b 4.5689
_cell_length_c 11.2721
_cell_angle_alpha 90.00
_cell_angle_beta 96.86
_cell_angle_gamma 90.00
loop_
_space_group_symop_operation_xyz
'x,y,z'
'-x,-y,-z'
'-x,y,-z'
'x,-y,z'
'x+1/2,y+1/2,z'
'-x+1/2,-y+1/2,-z'
'-x+1/2,y+1/2,-z'
'x+1/2,-y+1/2,z'
loop_
_atom_site_label
_atom_site_fract_x
_atom_site_fract_y
_atom_site_fract_z
Mg1 0.2016 0.0000 0.1005
Tl1 0.1645 0.5000 0.5904
Pb1 0.0000 0.5000 0.0000
Pb2 0.1006 0.0000 0.8059
Pb3 0.1153 0.5000 0.2926

=====

- Among the records above, which one has the lowest DOS(E_F)?
  CrCuCI2

=====

- Which formula does entry 1 have?
  CrCuCI2

=====

- Which of these has the lowest DOS(E_F)?
  CrCuCI2

=====

- Number 1 is which compound?
  CrCuCI2